(w)
VASP calculation (PBE) on a relaxed KSbAs crystal.

## Properties
**Total magnetic moment**: 0.00 μB per cell

Cell: 5.447 5.447 3.223 Å, 90.00 90.00 120.00°
Atoms (fractional coordinates):
K1 0.000 0.000 0.000
Sb1 0.667 0.333 0.500
As1 0.333 0.667 0.500

---

(x)
VASP calculation (PBE) on a relaxed KSbAs crystal.

## Properties
**Total magnetic moment**: 0.00 μB per cell

Cell: 5.182 5.182 5.182 Å, 60.00 60.00 60.00°
Atoms (fractional coordinates):
K1 0.000 0.000 0.000
Sb1 0.500 0.500 0.500
As1 0.750 0.750 0.750

---

Stability check: which of them is least stable? (x).

---

(w)
VASP calculation (PBE) on a relaxed KSbTe2As crystal.

## Properties
**Total magnetic moment**: 0.65 μB per cell

Cell: 6.016 6.016 6.302 Å, 90.00 90.00 90.00°
Atoms (fractional coordinates):
K1 0.000 0.000 0.000
Sb1 0.000 0.000 0.500
Te1 0.000 0.500 0.000
Te2 0.500 0.000 0.000
As1 0.500 0.500 0.500

---

(x)
VASP calculation (PBE) on a relaxed KSbTe2As crystal.

## Properties
**Total magnetic moment**: 0.00 μB per cell

Cell: 5.765 5.765 5.308 Å, 90.00 90.00 90.00°
Atoms (fractional coordinates):
K1 0.000 0.000 0.000
Sb1 0.500 0.500 0.000
Te1 0.000 0.500 0.500
Te2 0.500 0.000 0.500
As1 0.500 0.500 0.500

---

Stability check: which of them is least stable? (w).

---

(w)
VASP calculation (PBE) on a relaxed KScAs2 crystal.

## Properties
**Total magnetic moment**: 0.00 μB per cell

Cell: 9.378 9.378 9.378 Å, 144.51 144.51 51.06°
Atoms (fractional coordinates):
K1 0.000 0.000 0.000
K2 0.750 0.250 0.500
Sc1 0.250 0.750 0.500
Sc2 0.500 0.500 0.000
As1 0.311 0.625 0.186
As2 0.375 0.561 0.686
As3 0.439 0.125 0.814
As4 0.875 0.689 0.314

---

(x)
VASP calculation (PBE) on a relaxed KScAs2 crystal.

## Properties
**Total magnetic moment**: 0.00 μB per cell

Cell: 8.962 8.962 8.962 Å, 23.55 23.55 23.55°
Atoms (fractional coordinates):
K1 0.000 0.000 0.000
Sc1 0.500 0.500 0.500
As1 0.236 0.236 0.236
As2 0.764 0.764 0.764

---

Stability check: which of them is least stable? (w).

---

(w)
VASP calculation (PBE) on a relaxed KSc3As crystal.

## Properties
**Total magnetic moment**: 3.21 μB per cell

Cell: 5.306 5.306 5.306 Å, 90.00 90.00 90.00°
Atoms (fractional coordinates):
K1 0.000 0.000 0.000
Sc1 0.000 0.500 0.500
Sc2 0.500 0.000 0.500
Sc3 0.500 0.500 0.000
As1 0.500 0.500 0.500

---

(x)
VASP calculation (PBE) on a relaxed KSc3As crystal.

## Properties
**Total magnetic moment**: 0.00 μB per cell

Cell: 4.876 4.876 4.876 Å, 90.00 90.00 90.00°
Atoms (fractional coordinates):
K1 0.000 0.000 0.000
Sc1 0.000 0.000 0.500
Sc2 0.000 0.500 0.000
Sc3 0.500 0.000 0.000
As1 0.500 0.500 0.500

---

Stability check: which of them is least stable? (x).

---

(w)
VASP calculation (PBE) on a relaxed K2As2Se5 crystal.

## Properties
**Total magnetic moment**: 0.00 μB per cell

Cell: 5.672 7.433 7.867 Å, 111.75 107.86 90.17°
Atoms (fractional coordinates):
K1 0.062 0.323 0.139
K2 0.938 0.677 0.861
As1 0.379 0.164 0.686
As2 0.621 0.836 0.314
Se1 0.226 0.812 0.369
Se2 0.424 0.908 0.822
Se3 0.500 0.500 0.000
Se4 0.576 0.092 0.178
Se5 0.774 0.188 0.631

---

(x)
VASP calculation (PBE) on a relaxed K2As2Se5 crystal.

## Properties
**Total magnetic moment**: 0.00 μB per cell

Cell: 7.356 7.356 8.428 Å, 103.21 103.21 41.45°
Atoms (fractional coordinates):
K1 0.097 0.097 0.345
K2 0.903 0.903 0.655
As1 0.333 0.333 0.103
As2 0.667 0.667 0.897
Se1 0.147 0.147 0.976
Se2 0.361 0.361 0.384
Se3 0.500 0.500 0.000
Se4 0.639 0.639 0.616
Se5 0.853 0.853 0.024

---

Stability check: which of them is least stable? (x).

---

(w)
VASP calculation (PBE) on a relaxed KAs2Se4 crystal.

## Properties
**Total magnetic moment**: 0.00 μB per cell

Cell: 6.647 6.647 14.844 Å, 90.00 90.00 146.63°
Atoms (fractional coordinates):
K1 0.097 0.903 0.750
K2 0.903 0.097 0.250
As1 0.358 0.642 0.565
As2 0.358 0.642 0.935
As3 0.642 0.358 0.065
As4 0.642 0.358 0.435
Se1 0.000 0.000 0.000
Se2 0.000 0.000 0.500
Se3 0.279 0.721 0.097
Se4 0.279 0.721 0.403
Se5 0.387 0.613 0.750
Se6 0.613 0.387 0.250
Se7 0.721 0.279 0.597
Se8 0.721 0.279 0.903

---

(x)
VASP calculation (PBE) on a relaxed KAs2Se4 crystal.

## Properties
**Total magnetic moment**: 0.00 μB per cell

Cell: 6.862 6.862 11.171 Å, 108.27 108.27 84.77°
Atoms (fractional coordinates):
K1 0.000 0.000 0.000
K2 0.679 0.321 0.500
As1 0.372 0.039 0.757
As2 0.389 0.610 0.835
As3 0.390 0.611 0.165
As4 0.961 0.628 0.243
Se1 0.170 0.447 0.948
Se2 0.175 0.084 0.539
Se3 0.229 0.384 0.277
Se4 0.553 0.830 0.052
Se5 0.613 0.306 0.796
Se6 0.616 0.771 0.723
Se7 0.694 0.387 0.204
Se8 0.916 0.825 0.461

---

Stability check: which of them is least stable? (w).

---

(w)
VASP calculation (PBE) on a relaxed K2As2Se crystal.

## Properties
**Total magnetic moment**: 0.75 μB per cell

Cell: 7.834 7.834 4.908 Å, 90.00 90.00 90.00°
Atoms (fractional coordinates):
K1 0.194 0.306 0.000
K2 0.306 0.806 0.000
K3 0.694 0.194 0.000
K4 0.806 0.694 0.000
As1 0.105 0.605 0.500
As2 0.395 0.105 0.500
As3 0.605 0.895 0.500
As4 0.895 0.395 0.500
Se1 0.000 0.000 0.500
Se2 0.500 0.500 0.500

---

(x)
VASP calculation (PBE) on a relaxed K2As2Se crystal.

## Properties
**Total magnetic moment**: 0.00 μB per cell

Cell: 10.513 10.513 10.513 Å, 159.24 159.24 29.52°
Atoms (fractional coordinates):
K1 0.096 0.096 0.000
K2 0.904 0.904 0.000
As1 0.250 0.750 0.500
As2 0.750 0.250 0.500
Se1 0.500 0.500 0.000

---

Stability check: which of them is least stable? (w).

---

(w)
VASP calculation (PBE) on a relaxed KAs2Se3 crystal.

## Properties
**Total magnetic moment**: 0.00 μB per cell

Cell: 6.321 8.153 9.618 Å, 112.84 96.34 107.50°
Atoms (fractional coordinates):
K1 0.193 0.027 0.275
K2 0.807 0.973 0.725
As1 0.030 0.568 0.677
As2 0.453 0.600 0.121
As3 0.547 0.400 0.879
As4 0.970 0.432 0.323
Se1 0.141 0.323 0.100
Se2 0.217 0.334 0.681
Se3 0.283 0.880 0.764
Se4 0.717 0.120 0.236
Se5 0.783 0.666 0.319
Se6 0.859 0.677 0.900

---

(x)
VASP calculation (PBE) on a relaxed KAs2Se3 crystal.

## Properties
**Total magnetic moment**: 0.00 μB per cell

Cell: 7.646 7.646 6.522 Å, 90.00 90.00 89.53°
Atoms (fractional coordinates):
K1 0.182 0.818 0.750
K2 0.818 0.182 0.250
As1 0.315 0.315 0.000
As2 0.315 0.315 0.500
As3 0.685 0.685 0.000
As4 0.685 0.685 0.500
Se1 0.061 0.331 0.750
Se2 0.331 0.061 0.250
Se3 0.418 0.582 0.250
Se4 0.582 0.418 0.750
Se5 0.669 0.939 0.750
Se6 0.939 0.669 0.250

---

Stability check: which of them is least stable? (x).

---

(w)
VASP calculation (PBE) on a relaxed K3AsSe4 crystal.

## Properties
**Total magnetic moment**: 0.00 μB per cell

Cell: 9.517 11.084 10.169 Å, 90.00 90.00 90.00°
Atoms (fractional coordinates):
K1 0.075 0.046 0.194
K2 0.075 0.454 0.194
K3 0.144 0.750 0.421
K4 0.356 0.250 0.921
K5 0.425 0.546 0.694
K6 0.425 0.954 0.694
K7 0.575 0.046 0.306
K8 0.575 0.454 0.306
K9 0.644 0.750 0.079
K10 0.856 0.250 0.579
K11 0.925 0.546 0.806
K12 0.925 0.954 0.806
As1 0.228 0.750 0.977
As2 0.272 0.250 0.477
As3 0.728 0.750 0.523
As4 0.772 0.250 0.023
Se1 0.016 0.750 0.101
Se2 0.141 0.073 0.525
Se3 0.141 0.427 0.525
Se4 0.170 0.750 0.752
Se5 0.330 0.250 0.252
Se6 0.359 0.573 0.025
Se7 0.359 0.927 0.025
Se8 0.484 0.250 0.601
Se9 0.516 0.750 0.399
Se10 0.641 0.073 0.975
Se11 0.641 0.427 0.975
Se12 0.670 0.750 0.748
Se13 0.830 0.250 0.248
Se14 0.859 0.573 0.475
Se15 0.859 0.927 0.475
Se16 0.984 0.250 0.899

---

(x)
VASP calculation (PBE) on a relaxed K3AsSe4 crystal.

## Properties
**Total magnetic moment**: 0.00 μB per cell

Cell: 6.983 6.983 6.983 Å, 109.47 109.47 109.47°
Atoms (fractional coordinates):
K1 0.000 0.500 0.500
K2 0.500 0.000 0.500
K3 0.500 0.500 0.000
As1 0.000 0.000 0.000
Se1 0.000 0.000 0.340
Se2 0.000 0.340 0.000
Se3 0.340 0.000 0.000
Se4 0.660 0.660 0.660

---

Stability check: which of them is least stable? (x).

---

(w)
VASP calculation (PBE) on a relaxed K2AsSe3 crystal.

## Properties
**Total magnetic moment**: 0.00 μB per cell

Cell: 8.204 8.204 7.595 Å, 103.39 103.39 49.30°
Atoms (fractional coordinates):
K1 0.172 0.175 0.087
K2 0.175 0.172 0.587
K3 0.825 0.828 0.413
K4 0.828 0.825 0.913
As1 0.431 0.569 0.750
As2 0.569 0.431 0.250
Se1 0.087 0.913 0.750
Se2 0.371 0.373 0.436
Se3 0.373 0.371 0.936
Se4 0.627 0.629 0.064
Se5 0.629 0.627 0.564
Se6 0.913 0.087 0.250

---

(x)
VASP calculation (PBE) on a relaxed K2AsSe3 crystal.

## Properties
**Total magnetic moment**: 0.00 μB per cell

Cell: 7.818 7.818 16.176 Å, 90.00 90.00 121.45°
Atoms (fractional coordinates):
K1 0.055 0.945 0.837
K2 0.147 0.853 0.429
K3 0.353 0.647 0.929
K4 0.445 0.555 0.337
K5 0.555 0.445 0.663
K6 0.647 0.353 0.071
K7 0.853 0.147 0.571
K8 0.945 0.055 0.163
As1 0.241 0.759 0.157
As2 0.259 0.741 0.657
As3 0.741 0.259 0.343
As4 0.759 0.241 0.843
Se1 0.056 0.444 0.750
Se2 0.089 0.911 0.632
Se3 0.144 0.856 0.037
Se4 0.356 0.644 0.537
Se5 0.411 0.589 0.132
Se6 0.444 0.056 0.250
Se7 0.556 0.944 0.750
Se8 0.589 0.411 0.868
Se9 0.644 0.356 0.463
Se10 0.856 0.144 0.963
Se11 0.911 0.089 0.368
Se12 0.944 0.556 0.250

---

Stability check: which of them is least stable? (w).

---

(w)
VASP calculation (PBE) on a relaxed KSrAs2Se crystal.

## Properties
**Total magnetic moment**: 0.00 μB per cell

Cell: 5.435 5.435 5.629 Å, 90.00 90.00 90.00°
Atoms (fractional coordinates):
K1 0.000 0.000 0.000
Sr1 0.500 0.500 0.500
As1 0.000 0.500 0.000
As2 0.500 0.000 0.000
Se1 0.000 0.000 0.500

---

(x)
VASP calculation (PBE) on a relaxed KSrAs2Se crystal.

## Properties
**Total magnetic moment**: 1.12 μB per cell

Cell: 5.817 5.817 5.833 Å, 90.00 90.00 90.00°
Atoms (fractional coordinates):
K1 0.000 0.000 0.000
Sr1 0.500 0.500 0.500
As1 0.000 0.500 0.500
As2 0.500 0.000 0.500
Se1 0.500 0.500 0.000

---

Stability check: which of them is least stable? (w).